9
Lattice="5.591 -2.179 0.000 5.591 2.179 0.000 -3.972 0.000 7.690" Properties=species:S:1:pos:R:3 comment="Ce3Al2Pt4 PBE-GGA optimized geometry" e_form_ev_per_atom=-1.084 density_g_cm3=11.12 n_ef_per_ev_atom=1.5429 pbc="T T T"
Ce 0.000 0.000 0.000
Ce 2.884 0.000 2.353
Ce 4.326 0.000 5.337
Al 1.072 0.000 5.036
Al 6.138 0.000 2.654
Pt -0.701 0.000 3.110
Pt -0.426 0.000 7.099
Pt 7.636 0.000 0.591
Pt 7.911 0.000 4.579

=====

11
Lattice="-2.342 2.342 16.471 2.342 -2.342 16.471 2.342 2.342 -16.471" Properties=species:S:1:pos:R:3 comment="Dy6Ho3Er2 PBE-GGA optimized geometry" de_polymorph_kj_per_mol_fu=290 e_form_ev_per_atom=0.293 density_g_cm3=8.29 n_ef_per_ev_atom=1.5120 pbc="T T T"
Dy 2.342 0.000 3.986
Dy 0.000 0.000 6.483
Dy 2.342 0.000 12.485
Dy 0.000 2.342 3.986
Dy 0.000 0.000 26.458
Dy 0.000 2.342 12.485
Ho 0.000 0.000 9.892
Ho 0.000 0.000 16.471
Ho 0.000 0.000 23.049
Er 0.000 0.000 1.512
Er 0.000 0.000 31.430

=====

20
Lattice="8.081 4.665 3.554 -8.081 4.665 3.554 0.000 -9.331 3.554" Properties=species:S:1:pos:R:3 comment="Pm7CdI12 PBE-GGA optimized geometry" raw_formation_energy_ev_per_fu=-23.4 density_g_cm3=5.48 n_ef_per_ev_atom=0.5551 pbc="T T T"
Pm 0.000 0.000 0.000
Pm -1.759 -1.674 3.598
Pm -0.570 2.360 3.598
Pm 2.329 -0.686 3.598
Pm -2.329 0.686 7.063
Pm 0.570 -2.360 7.063
Pm 1.759 1.674 7.063
Cd 0.000 0.000 5.330
I -2.580 0.747 1.683
I 0.643 -2.608 1.683
I -4.362 -1.095 5.326
I -1.233 -4.325 5.335
I 1.937 1.861 1.683
I -3.130 3.230 5.335
I 3.130 -3.230 5.326
I -1.937 -1.861 8.978
I 1.233 4.325 5.326
I 4.362 1.095 5.335
I -0.643 2.608 8.978
I 2.580 -0.747 8.978

=====

20
Lattice="4.576 -7.672 0.000 4.576 7.672 0.000 -1.395 0.000 9.666" Properties=species:S:1:pos:R:3 comment="Nd2Sm6YTm PBE-GGA optimized geometry" e_form_ev_per_atom=0.113 density_g_cm3=7.09 n_ef_per_ev_atom=1.3873 pbc="T T T"
Nd 2.220 0.810 0.408
Nd 1.523 -0.810 5.241
Nd 6.233 0.810 4.425
Nd 5.536 -0.810 9.258
Sm 2.440 4.268 1.834
Sm 3.242 4.796 5.369
Sm 3.816 4.796 9.130
Sm 3.083 1.609 3.683
Sm 6.014 4.268 2.999
Sm 2.385 -1.609 8.516
Sm 5.371 1.609 1.150
Sm 1.742 -4.268 6.667
Sm 4.673 -1.609 5.983
Sm 3.940 -4.796 0.536
Sm 4.514 -4.796 4.297
Sm 5.316 -4.268 7.832
Y 4.227 7.372 2.416
Y 3.529 -7.372 7.249
Tm 3.529 1.403 7.249
Tm 4.227 -1.403 2.416

=====

3
Lattice="0.000 2.956 2.956 2.956 0.000 2.956 2.956 2.956 0.000" Properties=species:S:1:pos:R:3 comment="TaCoCl PBE-GGA optimized geometry" de_polymorph_kj_per_mol_fu=210 raw_formation_energy_ev_per_fu=2.0 density_g_cm3=8.85 n_ef_per_ev_atom=1.1430 pbc="T T T"
Ta 0.000 0.000 0.000
Co 1.478 1.478 1.478
Cl 4.434 4.434 4.434

=====

5
Lattice="3.852 0.000 0.000 0.000 3.852 0.000 0.000 0.000 3.852" Properties=species:S:1:pos:R:3 comment="CoTcN3 PBE-GGA optimized geometry" raw_formation_energy_ev_per_fu=6.3 density_g_cm3=5.78 n_ef_per_ev_atom=1.3526 pbc="T T T"
Co 0.000 0.000 0.000
Tc 1.926 1.926 1.926
N 0.000 1.926 1.926
N 1.926 0.000 1.926
N 1.926 1.926 0.000

=====

Repeat the sixth record exactly.
5
Lattice="3.852 0.000 0.000 0.000 3.852 0.000 0.000 0.000 3.852" Properties=species:S:1:pos:R:3 comment="CoTcN3 PBE-GGA optimized geometry" raw_formation_energy_ev_per_fu=6.3 density_g_cm3=5.78 n_ef_per_ev_atom=1.3526 pbc="T T T"
Co 0.000 0.000 0.000
Tc 1.926 1.926 1.926
N 0.000 1.926 1.926
N 1.926 0.000 1.926
N 1.926 1.926 0.000

=====

Question: What is the formula in the third record?
Answer: Pm7CdI12

=====

Question: What is the formula in the fifth record?
Answer: TaCoCl